# 1
Density functional theory data (PBE) for a relaxed structure of KCoTe2AuSe.

a b c (Å): 8.161 8.161 10.517
angles (deg): 90.00 90.00 152.83
Sites, in units of the cell vectors:
K1 0.250 0.750 0.750
K2 0.750 0.250 0.250
Co1 0.000 0.000 0.000
Co2 0.000 0.000 0.500
Te1 0.392 0.608 0.005
Te2 0.392 0.608 0.495
Te3 0.608 0.392 0.505
Te4 0.608 0.392 0.995
Au1 0.425 0.575 0.250
Au2 0.575 0.425 0.750
Se1 0.049 0.951 0.250
Se2 0.951 0.049 0.750

Results
E	-3.73	eV/atom

# 2
Density functional theory data (PBE) for a relaxed structure of LaNbCoAu.

a b c (Å): 4.683 4.683 4.683
angles (deg): 60.00 60.00 60.00
Sites, in units of the cell vectors:
La1 0.000 0.000 0.000
Nb1 0.250 0.250 0.250
Co1 0.750 0.750 0.750
Au1 0.500 0.500 0.500

Results
energy relative to the lowest polymorph listed for this composition	23	meV per atom
formation energy from the elements	0.22	eV per atom

# 3
Density functional theory data (PBE) for a relaxed structure of LaNbCoAu.

a b c (Å): 4.857 4.857 4.857
angles (deg): 60.00 60.00 60.00
Sites, in units of the cell vectors:
La1 0.000 0.000 0.000
Nb1 0.500 0.500 0.500
Co1 0.250 0.250 0.250
Au1 0.750 0.750 0.750

Results
energy relative to the lowest polymorph listed for this composition	0	meV per atom
formation energy from the elements	0.20	eV per atom

# 4
Density functional theory data (PBE) for a relaxed structure of LaNbCoAu.

a b c (Å): 4.741 4.741 4.741
angles (deg): 60.00 60.00 60.00
Sites, in units of the cell vectors:
La1 0.000 0.000 0.000
Nb1 0.250 0.250 0.250
Co1 0.500 0.500 0.500
Au1 0.750 0.750 0.750

Results
energy relative to the lowest polymorph listed for this composition	37	meV per atom
formation energy from the elements	0.24	eV per atom

# 5
Density functional theory data (PBE) for a relaxed structure of LaCoSi2Au.

a b c (Å): 5.924 5.924 5.924
angles (deg): 138.66 138.66 59.90
Sites, in units of the cell vectors:
La1 0.000 0.000 0.000
Co1 0.750 0.250 0.500
Si1 0.381 0.381 0.000
Si2 0.619 0.619 0.000
Au1 0.250 0.750 0.500

Results
E	-5.83	eV/atom

# 6
Density functional theory data (PBE) for a relaxed structure of LaTaCoAu.

a b c (Å): 4.846 4.846 4.846
angles (deg): 60.00 60.00 60.00
Sites, in units of the cell vectors:
La1 0.000 0.000 0.000
Ta1 0.500 0.500 0.500
Co1 0.250 0.250 0.250
Au1 0.750 0.750 0.750

Results
energy relative to the lowest polymorph listed for this composition	0	meV per atom
formation energy from the elements	0.25	eV per atom

# 7
Density functional theory data (PBE) for a relaxed structure of LaTaCoAu.

a b c (Å): 4.736 4.736 4.736
angles (deg): 60.00 60.00 60.00
Sites, in units of the cell vectors:
La1 0.000 0.000 0.000
Ta1 0.250 0.250 0.250
Co1 0.500 0.500 0.500
Au1 0.750 0.750 0.750

Results
energy relative to the lowest polymorph listed for this composition	82	meV per atom
formation energy from the elements	0.33	eV per atom

# 8
Density functional theory data (PBE) for a relaxed structure of LaTaCoAu.

a b c (Å): 4.680 4.680 4.680
angles (deg): 60.00 60.00 60.00
Sites, in units of the cell vectors:
La1 0.000 0.000 0.000
Ta1 0.250 0.250 0.250
Co1 0.750 0.750 0.750
Au1 0.500 0.500 0.500

Results
energy relative to the lowest polymorph listed for this composition	57	meV per atom
formation energy from the elements	0.31	eV per atom

# 9
Density functional theory data (PBE) for a relaxed structure of LiCo2Au.

a b c (Å): 4.164 4.164 4.164
angles (deg): 60.00 60.00 60.00
Sites, in units of the cell vectors:
Li1 0.000 0.000 0.000
Co1 0.500 0.500 0.500
Co2 0.750 0.750 0.750
Au1 0.250 0.250 0.250

Results
E	-4.58	eV/atom

# 10
Density functional theory data (PBE) for a relaxed structure of Li2CoAu.

a b c (Å): 4.256 4.256 4.256
angles (deg): 60.00 60.00 60.00
Sites, in units of the cell vectors:
Li1 0.000 0.000 0.000
Li2 0.250 0.250 0.250
Co1 0.500 0.500 0.500
Au1 0.750 0.750 0.750

Results
E	-3.60	eV/atom

# 11
Density functional theory data (PBE) for a relaxed structure of LiCoPbAu.

a b c (Å): 4.527 4.527 4.527
angles (deg): 60.00 60.00 60.00
Sites, in units of the cell vectors:
Li1 0.000 0.000 0.000
Co1 0.500 0.500 0.500
Pb1 0.250 0.250 0.250
Au1 0.750 0.750 0.750

Results
energy relative to the lowest polymorph listed for this composition	0	meV per atom

# 12
Density functional theory data (PBE) for a relaxed structure of LiCoAuSe2S.

a b c (Å): 7.088 7.088 9.572
angles (deg): 90.00 90.00 152.77
Sites, in units of the cell vectors:
Li1 0.188 0.812 0.750
Li2 0.812 0.188 0.250
Co1 0.500 0.500 0.000
Co2 0.500 0.500 0.500
Au1 0.155 0.845 0.250
Au2 0.845 0.155 0.750
Se1 0.124 0.876 0.001
Se2 0.124 0.876 0.499
Se3 0.876 0.124 0.501
Se4 0.876 0.124 0.999
S1 0.459 0.541 0.250
S2 0.541 0.459 0.750

Results
E	-4.15	eV/atom

Theoretical density
In order: 6.5; 11.2; 10.0; 10.8; 8.3; 11.9; 12.7; 13.2; 10.5; 8.2; 11.9; 6.8
Unit: Mg/m³